Entry 1:
First-principles (GGA-PBE) data for a relaxed Tb4Sm2ThMg crystal, as listed in Alexandria via LeMat-Bulk. Values from VASP.

Calculated values
ρ: 7.9 g/cm³
Space group: Cmmm
Size of the total moment: 0.000 Bohr magnetons per cell
Calculated formation energy: 0.044 eV/atom
E: -36.6 eV per cell

Cell and atoms, written as Quantum ESPRESSO input:
```
&SYSTEM
  ibrav = 0, nat = 8, ntyp = 4
/
ATOMIC_SPECIES
Tb 158.93 Tb.upf
Sm 150.36 Sm.upf
Th 232.04 Th.upf
Mg 24.30 Mg.upf
CELL_PARAMETERS angstrom
3.557 -4.959 0.000
3.557 4.959 0.000
0.000 0.000 7.111
ATOMIC_POSITIONS crystal
Tb 0.000 0.500 0.245
Tb 0.000 0.500 0.755
Tb 0.500 0.000 0.245
Tb 0.500 0.000 0.755
Sm 0.000 0.000 0.500
Sm 0.500 0.500 0.500
Th 0.000 0.000 0.000
Mg 0.500 0.500 0.000
```

***

Entry 2:
First-principles (GGA-PBE) data for a relaxed Pr3CdN crystal, as listed in Alexandria via LeMat-Bulk. Values from VASP.

Calculated values
ρ: 6.9 g/cm³
Space group: Pm-3m
Size of the total moment: 0.000 Bohr magnetons per cell
E: -26.9 eV per cell
Uncorrected formation energy: -669 meV per atom

Cell and atoms, written as Quantum ESPRESSO input:
```
&SYSTEM
  ibrav = 0, nat = 5, ntyp = 3
/
ATOMIC_SPECIES
Pr 140.91 Pr.upf
Cd 112.41 Cd.upf
N 14.01 N.upf
CELL_PARAMETERS angstrom
5.092 0.000 0.000
0.000 5.092 0.000
0.000 0.000 5.092
ATOMIC_POSITIONS crystal
Pr 0.000 0.000 0.500
Pr 0.000 0.500 0.000
Pr 0.500 0.000 0.000
Cd 0.500 0.500 0.500
N 0.000 0.000 0.000
```

***

Entry 3:
First-principles (GGA-PBE) data for a relaxed NaNdNpO6 crystal, as listed in Alexandria via LeMat-Bulk. Values from VASP.

Calculated values
ρ: 6.0 g/cm³
Space group: P-31c
Size of the total moment: 1.944 Bohr magnetons per cell
E: -141.2 eV per cell
Uncorrected formation energy: -2424 meV per atom

Cell and atoms, written as Quantum ESPRESSO input:
```
&SYSTEM
  ibrav = 0, nat = 18, ntyp = 4
/
ATOMIC_SPECIES
Na 22.99 Na.upf
Nd 144.24 Nd.upf
Np 237.00 Np.upf
O 16.00 O.upf
CELL_PARAMETERS angstrom
5.689 0.000 0.000
-2.845 4.927 0.000
0.000 0.000 9.902
ATOMIC_POSITIONS crystal
Na 0.333 0.667 0.250
Na 0.667 0.333 0.750
Nd 0.000 0.000 0.000
Nd 0.000 0.000 0.500
Np 0.333 0.667 0.750
Np 0.667 0.333 0.250
O 0.050 0.371 0.635
O 0.050 0.679 0.865
O 0.321 0.371 0.865
O 0.321 0.950 0.635
O 0.371 0.050 0.135
O 0.371 0.321 0.365
O 0.629 0.679 0.635
O 0.629 0.950 0.865
O 0.679 0.050 0.365
O 0.679 0.629 0.135
O 0.950 0.321 0.135
O 0.950 0.629 0.365
```